No. 1
The following is a DFT calculation (PBE) of a relaxed structure of Pm2SmAl.

abc: 3.576 3.576 9.321
angles: 90.00 90.00 90.00
Positions (direct):
Al (0.500, 0.500, 0.000)
Sm (0.500, 0.500, 0.500)
Pm (0.000, 0.000, 0.787)
Pm (0.000, 0.000, 0.213)

Computed properties:
magnetic moment: 0.00 μB per formula unit
calculated density: 6.51 Mg/m³
excess energy over the best structure of this formula in the dataset: 0.028 eV/atom

=====

No. 2
The following is a DFT calculation (PBE) of a relaxed structure of Pm2Sm6Al.

abc: 3.572 9.533 9.976
angles: 118.54 91.65 90.00
Positions (direct):
Pm (0.477, 0.675, 0.351)
Pm (0.523, 0.325, 0.649)
Sm (0.989, 0.333, 0.326)
Sm (0.011, 0.007, 0.674)
Sm (0.011, 0.667, 0.674)
Sm (0.500, 0.283, 0.000)
Sm (0.989, 0.993, 0.326)
Sm (0.500, 0.717, 0.000)
Al (0.000, 0.000, 0.000)

Computed properties:
magnetic moment: 0.00 μB per formula unit
calculated density: 6.79 Mg/m³

=====

No. 3
The following is a DFT calculation (PBE) of a relaxed structure of Pm2Sm4Al.

abc: 3.667 3.667 19.633
angles: 84.64 84.64 60.00
Positions (direct):
Pm (0.808, 0.808, 0.577)
Pm (0.192, 0.192, 0.423)
Sm (0.706, 0.706, 0.883)
Sm (0.909, 0.909, 0.272)
Sm (0.294, 0.294, 0.117)
Sm (0.091, 0.091, 0.728)
Al (0.000, 0.000, 0.000)

Computed properties:
magnetic moment: 0.00 μB per formula unit
calculated density: 6.71 Mg/m³
excess energy over the best structure of this formula in the dataset: 0.000 eV/atom

=====

No. 4
The following is a DFT calculation (PBE) of a relaxed structure of PmSm2Al.

abc: 3.569 3.569 9.292
angles: 90.00 90.00 90.00
Positions (direct):
Al (0.500, 0.500, 0.000)
Sm (0.000, 0.000, 0.788)
Sm (0.000, 0.000, 0.212)
Pm (0.500, 0.500, 0.500)

Computed properties:
magnetic moment: 0.00 μB per formula unit
calculated density: 6.63 Mg/m³
excess energy over the best structure of this formula in the dataset: 0.021 eV/atom

=====

No. 5
The following is a DFT calculation (PBE) of a relaxed structure of Pm4SmAl4.

abc: 6.054 8.877 8.877
angles: 90.00 90.00 90.00
Positions (direct):
Pm (0.378, 0.427, 0.829)
Pm (0.878, 0.671, 0.927)
Pm (0.378, 0.573, 0.171)
Pm (0.122, 0.073, 0.671)
Pm (0.622, 0.829, 0.573)
Pm (0.122, 0.927, 0.329)
Pm (0.878, 0.329, 0.073)
Pm (0.622, 0.171, 0.427)
Sm (0.000, 0.000, 0.000)
Sm (0.500, 0.500, 0.500)
Al (0.599, 0.908, 0.191)
Al (0.599, 0.092, 0.809)
Al (0.099, 0.691, 0.592)
Al (0.901, 0.408, 0.691)
Al (0.901, 0.592, 0.309)
Al (0.401, 0.191, 0.092)
Al (0.401, 0.809, 0.908)
Al (0.099, 0.309, 0.408)

Computed properties:
magnetic moment: 0.00 μB per formula unit
calculated density: 5.84 Mg/m³

=====

No. 6
The following is a DFT calculation (PBE) of a relaxed structure of PmSm2Al2.

abc: 3.745 5.252 13.811
angles: 90.00 97.82 90.00
Positions (direct):
Pm (0.859, 0.750, 0.714)
Pm (0.141, 0.250, 0.286)
Sm (0.047, 0.750, 0.094)
Sm (0.953, 0.250, 0.906)
Sm (0.233, 0.750, 0.466)
Sm (0.767, 0.250, 0.534)
Al (0.641, 0.750, 0.282)
Al (0.359, 0.250, 0.718)
Al (0.452, 0.750, 0.904)
Al (0.548, 0.250, 0.096)

Computed properties:
magnetic moment: 0.00 μB per formula unit
calculated density: 6.17 Mg/m³
excess energy over the best structure of this formula in the dataset: 0.000 eV/atom

=====

No. 7
The following is a DFT calculation (PBE) of a relaxed structure of Pm2SmAl.

abc: 3.676 3.676 10.864
angles: 80.27 80.27 60.02
Positions (direct):
Pm (0.072, 0.072, 0.784)
Pm (0.261, 0.261, 0.215)
Sm (0.500, 0.500, 0.500)
Al (0.666, 0.666, 0.001)

Computed properties:
magnetic moment: 0.00 μB per formula unit
calculated density: 6.22 Mg/m³
excess energy over the best structure of this formula in the dataset: 0.149 eV/atom

=====

No. 8
The following is a DFT calculation (PBE) of a relaxed structure of PmSm3Al2.

abc: 5.210 6.676 9.745
angles: 90.00 90.00 90.00
Positions (direct):
Pm (0.500, 0.527, 0.545)
Pm (0.500, 0.027, 0.455)
Sm (0.000, 0.474, 0.955)
Sm (0.000, 0.974, 0.045)
Sm (0.500, 0.688, 0.173)
Sm (0.500, 0.188, 0.827)
Sm (0.000, 0.312, 0.325)
Sm (0.000, 0.812, 0.675)
Al (0.500, 0.708, 0.852)
Al (0.500, 0.208, 0.148)
Al (0.000, 0.292, 0.648)
Al (0.000, 0.792, 0.352)

Computed properties:
magnetic moment: 0.00 μB per formula unit
calculated density: 6.37 Mg/m³
excess energy over the best structure of this formula in the dataset: 0.000 eV/atom

=====

no.,ΔE_f (eV/atom)
1,-0.16
2,0.08
3,-0.01
4,-0.17
5,-0.15
6,-0.29
7,-0.04
8,-0.26